Below is Fe2HgAu after structural relaxation, with properties calculated at the PBE level.

Output
Its symmetry is No. 139. The value obtained for the formation energy is 0.327 eV per atom. For the density of states at the Fermi level, the calculation gives 0.886 states/eV/atom.

abc: 4.8279 4.8279 4.8279
angles: 130.41 130.37 72.79
Last column: nearest neighbours and their distance in Å.
Fractional coordinates of all 4 atoms:
Au (0.7500, 0.2500, 0.5000)  8 Fe 2.81, 4 Hg 2.86
Fe (0.0001, 0.0001, 0.0000)  4 Hg 2.81, 4 Au 2.81, 4 Fe 2.86
Fe (0.4999, 0.4999, 0.0000)  4 Hg 2.81, 4 Au 2.81, 4 Fe 2.86
Hg (0.2500, 0.7500, 0.5000)  8 Fe 2.81, 4 Au 2.86

Below is Na2ErMg3F12 after structural relaxation, with properties calculated at the PBE level.

Output
Its symmetry is No. 166. For the density of states at the Fermi level, the calculation gives 0.382 states/eV/atom. The raw total energy is -91.97 eV for the cell shown.

abc: 6.6914 6.6914 6.6914
angles: 66.41 66.41 66.41
Last column: nearest neighbours and their distance in Å.
Fractional coordinates of all 18 atoms:
F (0.1074, 0.7412, 0.7412)  2 Mg 1.95
F (0.2588, 0.8926, 0.2588)  2 Mg 1.95
F (0.8546, 0.4004, 0.8546)  1 Mg 2.03, 1 Na 2.27
F (0.2588, 0.2588, 0.8926)  2 Mg 1.95
F (0.4004, 0.8546, 0.8546)  1 Mg 2.03, 1 Na 2.27
F (0.1454, 0.5996, 0.1454)  1 Mg 2.03, 1 Na 2.27
F (0.8926, 0.2588, 0.2588)  2 Mg 1.95
F (0.8546, 0.8546, 0.4004)  1 Mg 2.03, 1 Na 2.27
F (0.7412, 0.7412, 0.1074)  2 Mg 1.95
F (0.5996, 0.1454, 0.1454)  1 Mg 2.03, 1 Na 2.27
F (0.1454, 0.1454, 0.5996)  1 Mg 2.03, 1 Na 2.27
F (0.7412, 0.1074, 0.7412)  2 Mg 1.95
Er (0.0000, 0.0000, 0.0000)  12 F 2.38-2.63
Mg (0.0000, 0.0000, 0.5000)  6 F 1.95-2.03
Mg (0.5000, 0.0000, 0.0000)  6 F 1.95-2.03
Mg (0.0000, 0.5000, 0.0000)  6 F 1.95-2.03
Na (0.6261, 0.6261, 0.6261)  3 F 2.27
Na (0.3739, 0.3739, 0.3739)  3 F 2.27